1.
First-principles (GGA-PBE) data for a geometry-optimized ZnSbI2N structure, as listed in Alexandria via LeMat-Bulk.

Results
Its uncorrected formation energy is 437 kJ/mol of formula units. The calculation puts the mass density at 6.21 g cm⁻³. The space group is No. 123.

```
5
Lattice="4.927 0.000 0.000 0.000 4.927 0.000 0.000 0.000 5.009" Properties=species:S:1:pos:R:3 pbc="T T T"
I 2.464 0.000 0.000
I 0.000 2.464 0.000
Sb 0.000 0.000 2.504
N 0.000 0.000 0.000
Zn 2.464 2.464 2.504
```

---

2.
First-principles (GGA-PBE) data for a geometry-optimized CuIr2F2 structure, as listed in Alexandria via LeMat-Bulk.

Results
Its uncorrected formation energy is 125 kJ/mol of formula units. The calculation puts the mass density at 11.32 g cm⁻³. The space group is No. 127.

```
10
Lattice="-1.059 6.880 -1.838 -4.050 0.946 5.877 2.237 0.725 1.425" Properties=species:S:1:pos:R:3 pbc="T T T"
Ir -3.422 6.683 1.972
Ir -1.107 4.324 -0.463
Ir -4.003 3.502 4.502
Ir -1.687 1.143 2.067
Cu -2.555 3.913 2.020
Cu 0.000 0.000 0.000
F -2.070 2.617 4.571
F -0.802 5.934 0.894
F -0.092 2.452 1.550
F -2.780 6.100 3.914
```

---

3.
First-principles (GGA-PBE) data for a geometry-optimized CsB2AuCl8 structure, as listed in Alexandria via LeMat-Bulk.

Results
Its uncorrected formation energy is -1093 kJ/mol of formula units. The calculation puts the mass density at 3.23 g cm⁻³. The space group is No. 148.

```
12
Lattice="6.239 0.000 0.000 3.119 5.403 0.000 3.119 1.801 9.698" Properties=species:S:1:pos:R:3 pbc="T T T"
B 9.358 5.403 7.438
B 3.119 1.801 2.260
Cl 9.358 5.403 5.567
Cl 5.391 5.649 1.671
Cl 8.435 3.314 1.671
Cl 7.087 1.556 8.027
Cl 7.587 5.360 8.027
Cl 3.119 1.801 4.132
Cl 4.042 3.891 8.027
Cl 4.891 1.844 1.671
Cs 6.239 3.602 4.849
Au 0.000 0.000 0.000
```

---

4.
First-principles (GGA-PBE) data for a geometry-optimized TbPaRe structure, as listed in Alexandria via LeMat-Bulk.

Results
The total DFT energy (no corrections) comes out at -8.5903 eV per atom. The calculation puts the mass density at 13.81 g cm⁻³. The space group is No. 43.

```
6
Lattice="-4.246 2.448 2.367 -0.193 -5.406 0.604 4.832 1.865 2.802" Properties=species:S:1:pos:R:3 pbc="T T T"
Re 1.957 -3.959 2.120
Re -1.472 -2.928 1.160
Pa -2.641 -0.663 1.668
Pa 0.788 -1.694 2.629
Tb -0.765 1.316 3.305
Tb -4.195 2.348 2.344
```

---

5.
First-principles (GGA-PBE) data for a geometry-optimized TiP2CS structure, as listed in Alexandria via LeMat-Bulk.

Results
Its uncorrected formation energy is 298 kJ/mol of formula units. The calculation puts the mass density at 3.67 g cm⁻³. The space group is No. 123.

```
5
Lattice="3.901 0.000 0.000 0.000 4.571 0.000 0.000 0.000 3.901" Properties=species:S:1:pos:R:3 pbc="T T T"
P 1.950 0.000 0.000
P 0.000 0.000 1.950
C 0.000 0.000 0.000
Ti 0.000 2.286 0.000
S 1.950 2.286 1.950
```

---

6.
First-principles (GGA-PBE) data for a geometry-optimized SrPtS structure, as listed in Alexandria via LeMat-Bulk.

Results
Its uncorrected formation energy is -327 kJ/mol of formula units. The calculation puts the mass density at 6.50 g cm⁻³. The space group is No. 8.

```
6
Lattice="8.255 0.001 0.002 -1.137 4.176 0.000 0.426 0.118 4.667" Properties=species:S:1:pos:R:3 pbc="T T T"
S 3.568 0.676 0.198
S 7.667 1.790 2.269
Pt -0.544 4.044 2.440
Pt 5.822 1.290 3.534
Sr 4.864 3.271 1.197
Sr 1.470 2.349 4.516
```

---

7.
First-principles (GGA-PBE) data for a geometry-optimized Ac2Tl8Pb structure, as listed in Alexandria via LeMat-Bulk.

Results
The total DFT energy (no corrections) comes out at -2.9771 eV per atom. The calculation puts the mass density at 10.63 g cm⁻³. The space group is No. 123.

```
11
Lattice="5.167 0.000 0.000 0.000 5.167 0.000 0.000 0.000 13.437" Properties=species:S:1:pos:R:3 pbc="T T T"
Tl 2.583 2.583 4.377
Tl 0.000 2.583 11.518
Tl 2.583 0.000 11.518
Tl 2.583 0.000 1.919
Tl 2.583 0.000 6.719
Tl 0.000 2.583 6.719
Tl 0.000 2.583 1.919
Tl 2.583 2.583 9.060
Ac 0.000 0.000 4.297
Ac 0.000 0.000 9.141
Pb 0.000 0.000 0.000
```

---

8.
First-principles (GGA-PBE) data for a geometry-optimized PuFeN2 structure, as listed in Alexandria via LeMat-Bulk.

Results
Its uncorrected formation energy is -255 kJ/mol of formula units. The calculation puts the mass density at 10.77 g cm⁻³. The space group is No. 152.

```
12
Lattice="5.309 0.000 0.000 -2.655 4.598 0.000 0.000 0.000 6.212" Properties=species:S:1:pos:R:3 pbc="T T T"
Fe 1.046 1.812 3.106
Fe -1.608 2.786 1.035
Fe 3.217 0.000 5.176
N 1.985 0.450 3.851
N 2.052 2.654 1.780
N 1.273 3.104 4.431
N -0.603 1.944 2.361
N 3.927 1.494 5.921
N -0.670 4.148 0.290
Pu 3.448 0.000 2.071
Pu 0.931 1.612 0.000
Pu -1.724 2.986 4.141
```

---

9.
First-principles (GGA-PBE) data for a geometry-optimized AcCeSnBi structure, as listed in Alexandria via LeMat-Bulk.

Results
The total DFT energy (no corrections) comes out at -5.0381 eV per atom. The calculation puts the mass density at 8.77 g cm⁻³. The space group is No. 216.

```
4
Lattice="-0.595 -2.188 5.239 4.411 -2.599 2.526 2.608 2.469 4.438" Properties=species:S:1:pos:R:3 pbc="T T T"
Sn 1.606 -0.579 3.051
Ac 3.212 -1.159 6.101
Bi 4.818 -1.738 9.152
Ce 0.000 0.000 0.000
```

---

10.
First-principles (GGA-PBE) data for a geometry-optimized Ce2IO structure, as listed in Alexandria via LeMat-Bulk.

Results
Its uncorrected formation energy is -669 kJ/mol of formula units. The calculation puts the mass density at 7.61 g cm⁻³. The space group is No. 166.

```
4
Lattice="-2.161 0.838 2.956 0.235 -2.049 3.140 4.729 4.220 4.648" Properties=species:S:1:pos:R:3 pbc="T T T"
O 0.000 0.000 0.000
I 1.401 1.504 5.372
Ce 0.275 0.386 2.479
Ce 2.528 2.622 8.265
```

---

11.
First-principles (GGA-PBE) data for a geometry-optimized AcCdPdPb structure, as listed in Alexandria via LeMat-Bulk.

Results
The total DFT energy (no corrections) comes out at -3.8982 eV per atom. The calculation puts the mass density at 10.30 g cm⁻³. The space group is No. 216.

```
4
Lattice="5.300 0.000 0.000 2.650 4.590 0.000 2.650 1.530 4.328" Properties=species:S:1:pos:R:3 pbc="T T T"
Ac 0.000 0.000 0.000
Pb 5.300 3.060 2.164
Pd 2.650 1.530 1.082
Cd 7.950 4.590 3.246
```

---

12.
First-principles (GGA-PBE) data for a geometry-optimized BeIn2Ni structure, as listed in Alexandria via LeMat-Bulk.

Results
The total DFT energy (no corrections) comes out at -3.6807 eV per atom. The calculation puts the mass density at 7.39 g cm⁻³. The space group is No. 6.

```
4
Lattice="-2.393 2.433 -1.797 -1.465 -2.810 -1.853 -3.873 -1.922 2.556" Properties=species:S:1:pos:R:3 pbc="T T T"
In -2.851 -0.165 -0.564
In -5.018 -4.535 0.544
Be -4.912 -1.803 -0.038
Ni -2.956 -2.894 0.019
```